PBE NdErTl6, optimized geometry; E = -0.1176 Ha/atom; SG = P4/mmm (123)
1.0
4.797 0.000 0.000
0.000 4.797 0.000
0.000 0.000 9.583
Nd Er Tl
1 1 6
direct
0.000 0.000 0.000
0.000 0.000 0.500
0.000 0.500 0.255
0.000 0.500 0.745
0.500 0.000 0.255
0.500 0.000 0.745
0.500 0.500 0.000
0.500 0.500 0.500



PBE YCdGaSn, optimized geometry; E = -0.1488 Ha/atom; SG = Pmmm (47)
1.0
4.370 0.000 0.000
0.000 4.548 0.000
0.000 0.000 4.635
Y Cd Ga Sn
1 1 1 1
direct
0.000 0.000 0.000
0.000 0.500 0.500
0.500 0.500 0.000
0.500 0.000 0.500



PBE BeCo2Sn, optimized geometry; E = -0.1865 Ha/atom; SG = I-42d (122)
1.0
-1.895 1.895 8.085
1.895 -1.895 8.085
1.895 1.895 -8.085
Be Co Sn
2 4 2
direct
0.000 0.000 0.000
0.750 0.250 0.500
0.033 0.625 0.908
0.375 0.283 0.408
0.717 0.125 0.092
0.875 0.967 0.592
0.250 0.750 0.500
0.500 0.500 0.000



PBE TiNiTe2, optimized geometry; uncorrected formation energy = -0.78 eV/f.u.; E = -0.1905 Ha/atom; SG = I-42d (122)
1.0
-3.011 3.011 5.926
3.011 -3.011 5.926
3.011 3.011 -5.926
Ti Ni Te
2 2 4
direct
0.000 0.000 0.000
0.750 0.250 0.500
0.250 0.750 0.500
0.500 0.500 0.000
0.149 0.625 0.024
0.375 0.399 0.524
0.601 0.125 0.976
0.875 0.851 0.476



PBE PrGaAu, optimized geometry; E = -0.1635 Ha/atom; SG = C2/m (12)
1.0
5.385 -2.302 0.000
5.385 2.302 0.000
-5.097 0.000 5.572
Pr Ga Au
2 2 2
direct
0.035 0.035 0.298
0.965 0.965 0.702
0.343 0.343 0.896
0.657 0.657 0.104
0.322 0.322 0.281
0.678 0.678 0.719



PBE LiCaCoC, optimized geometry; E = -0.1855 Ha/atom; SG = P4/nmm (129)
1.0
3.406 0.000 0.000
0.000 3.406 0.000
0.000 0.000 10.899
Li Ca Co C
2 2 2 2
direct
0.250 0.750 0.000
0.750 0.250 0.000
0.250 0.250 0.278
0.750 0.750 0.722
0.250 0.750 0.500
0.750 0.250 0.500
0.250 0.250 0.591
0.750 0.750 0.409